Record 1
Here is a relaxed structure of TbTmHf from the Alexandria database. Energies are from PBE.

formation enthalpy at 0 K = 0.1618 eV/atom
V = 164 Å³/cell
space group = P2_1/m (11)

Lattice parameters (Å, degrees): 4.8491 3.3184 10.2993 98.71 90.00 90.00
Last column: nearest neighbours and their distance in Å.
Sites, in units of the cell vectors:
Tb1 0.8469 0.9316 0.3122  4 Tb 3.16-3.32, 1 Hf 3.35, 4 Tm 3.39-3.40
Tb2 0.3469 0.0584 0.5113  4 Tb 3.16-3.32, 1 Hf 3.35, 4 Tm 3.39-3.40
Tm1 0.3469 0.3554 0.1455  5 Hf 3.11-3.37, 2 Tm 3.32, 4 Tb 3.39-3.40
Tm2 0.8469 0.6346 0.6780  5 Hf 3.11-3.37, 2 Tm 3.32, 4 Tb 3.39-3.40
Hf1 0.8469 0.7779 0.9836  5 Tm 3.11-3.37, 6 Hf 3.28-3.32, 1 Tb 3.35
Hf2 0.3469 0.2117 0.8400  5 Tm 3.11-3.37, 6 Hf 3.28-3.32, 1 Tb 3.35

Record 2
Here is a relaxed structure of ReMo2Ru from the Alexandria database. Energies are from PBE.

formation enthalpy at 0 K = 0.1299 eV/atom
V = 61 Å³/cell
space group = I4/mmm (139)

Lattice parameters (Å, degrees): 4.8024 4.8024 4.8024 131.54 131.54 70.96
Last column: nearest neighbours and their distance in Å.
Sites, in units of the cell vectors:
Ru1 0.7500 0.2500 0.5000  8 Mo 2.78, 4 Re 2.79
Re1 0.2500 0.7500 0.5000  8 Mo 2.78, 4 Ru 2.79
Mo1 0.5000 0.5000 0.0000  4 Ru 2.78, 4 Re 2.78, 4 Mo 2.79
Mo2 0.0000 0.0000 0.0000  4 Re 2.78, 4 Ru 2.78, 4 Mo 2.79

Record 3
Here is a relaxed structure of Na2NiP2S6 from the Alexandria database. Energies are from PBE.

formation energy (no corrections) = -443 meV/atom
V = 221 Å³/cell
space group = P-3 (147)

Lattice parameters (Å, degrees): 6.2433 6.2433 6.5515 90.00 90.00 120.00
Last column: nearest neighbours and their distance in Å.
Sites, in units of the cell vectors:
S1 0.9005 0.6695 0.2190  1 P 2.13, 1 Ni 2.33
S2 0.0995 0.3305 0.7810  1 P 2.13, 1 Ni 2.33
S3 0.7690 0.0995 0.2190  1 P 2.13, 1 Ni 2.33
S4 0.3305 0.2310 0.2190  1 P 2.13, 1 Ni 2.33
S5 0.2310 0.9005 0.7810  1 P 2.13, 1 Ni 2.33
S6 0.6695 0.7690 0.7810  1 P 2.13, 1 Ni 2.33
P1 0.6667 0.3333 0.0616  3 S 2.13
P2 0.3333 0.6667 0.9384  3 S 2.13
Na1 0.6667 0.3333 0.6118  6 S 2.93-3.18, 1 P 2.95
Na2 0.3333 0.6667 0.3882  6 S 2.93-3.18, 1 P 2.95
Ni1 0.0000 0.0000 0.0000  6 S 2.33

Record 4
Here is a relaxed structure of TbZr2Co9 from the Alexandria database. Energies are from PBE.

formation enthalpy at 0 K = -0.2389 eV/atom
V = 165 Å³/cell
space group = R-3m (166)

Lattice parameters (Å, degrees): 4.8973 4.8973 8.4390 73.13 73.13 60.00
Last column: nearest neighbours and their distance in Å.
Sites, in units of the cell vectors:
Zr1 0.8604 0.8604 0.4188  12 Co 2.78-2.96, 3 Zr 3.11
Zr2 0.1396 0.1396 0.5812  12 Co 2.78-2.96, 3 Zr 3.11
Co1 0.5000 0.5000 0.5000  6 Co 2.44
Co2 0.0784 0.5870 0.7477  7 Co 2.41-2.49
Co3 0.5870 0.5870 0.7477  7 Co 2.41-2.49
Co4 0.5870 0.0784 0.7477  7 Co 2.41-2.49
Co5 0.4130 0.4130 0.2523  7 Co 2.41-2.49
Co6 0.6644 0.6644 0.0069  6 Co 2.42-2.49
Co7 0.3356 0.3356 0.9931  6 Co 2.42-2.49
Co8 0.4130 0.9216 0.2523  7 Co 2.41-2.49
Co9 0.9216 0.4130 0.2523  7 Co 2.41-2.49
Tb1 0.0000 0.0000 0.0000  18 Co 2.83-3.17